# La2InP PBE relaxed
# ΔE_f in eV per atom: -0.8579
# Total DFT energy (no corrections) in eV per atom: -5.359
# Relative energy among the computed polymorphs in eV/atom: 0.099
# Total magnetic moment in μB per atom: 0.000
data_La2InP
_chemical_formula_sum 'La2 In1 P1'
_space_group_name_H-M_alt 'P 4/m m m'
_space_group_IT_number 123
_space_group_name_Hall '-P 4 2'
_cell_length_a 3.668
_cell_length_b 3.668
_cell_length_c 8.117
_cell_angle_alpha 90.00
_cell_angle_beta 90.00
_cell_angle_gamma 90.00
loop_
_atom_site_label
_atom_site_type_symbol
_atom_site_fract_x
_atom_site_fract_y
_atom_site_fract_z
La1 La 0.000 0.000 0.209
In1 In 0.500 0.500 0.500
P1 P 0.500 0.500 0.000